Compound: Li2CuPO4
Source: the Alexandria database
Functional: GGA-PBE
Structure: relaxed

The structure belongs to space group P2_1/c (No. 14); the cell edges are 5.203, 11.005 and 7.954 Å and the angles 90.00°, 130.17° and 90.00°. Symmetry generates all atoms from Li at (0.055, 0.071, 0.258), Li at (0.197, 0.163, 0.999), Cu at (0.299, 0.671, 0.034), P at (0.449, 0.091, 0.752), O at (0.165, 0.082, 0.766), O at (0.232, 0.654, 0.536), O at (0.321, 0.162, 0.542) and O at (0.431, 0.039, 0.250).

Its formation energy without anion corrections is -1.9410 eV/atom. Its density of states at the Fermi level is 0.000 states/eV/cell. The excess energy over the best structure of this formula in the dataset is 15 meV per atom. The total magnetization is 0.05 μB/f.u. For the total DFT energy (no corrections), the calculation gives -194.777 eV per cell.